Record 1
DFT (SCAN) results for BaPtO2F at its PBEsol-relaxed geometry.

The structure belongs to space group P4/mmm (No. 123); the cell edges are 4.673, 4.673 and 3.805 Å and the angles 90.00°, 90.00° and 90.00°. The distinct sites, in fractional coordinates, are Ba at (0.000, 0.000, 0.000), Pt at (0.500, 0.500, 0.000), O at (0.000, 0.500, 0.500) and F at (0.500, 0.500, 0.500).

As for the energy relative to the elements, uncorrected: -56.0 kJ per mole of atoms. The density is 7.66 g/cm³. Its volume is 83 Å³/cell.



Record 2
DFT (SCAN) results for RbBaOF2 at its PBEsol-relaxed geometry.

The structure belongs to space group P4/mmm (No. 123); the cell edges are 5.047, 5.047 and 4.556 Å and the angles 90.00°, 90.00° and 90.00°. The distinct sites, in fractional coordinates, are Rb at (0.000, 0.000, 0.000), Ba at (0.500, 0.500, 0.500), O at (0.500, 0.500, 0.000) and F at (0.000, 0.500, 0.500).

As for the energy relative to the elements, uncorrected: -246.4 kJ per mole of atoms. The density is 3.96 g/cm³. Its volume is 116 Å³/cell.



Record 3
DFT (SCAN) results for BaTiOF4 at its PBEsol-relaxed geometry.

The structure belongs to space group Pbcm (No. 57); the cell edges are 5.133, 13.687 and 5.523 Å and the angles 90.00°, 90.00° and 90.00°. The distinct sites, in fractional coordinates, are Ba at (0.240, 0.093, 0.250), Ti at (0.186, 0.676, 0.750), O at (0.045, 0.750, 0.000), F at (0.102, 0.085, 0.750), F at (0.320, 0.581, 0.512) and F at (0.490, 0.236, 0.750).

As for the energy relative to the elements, uncorrected: -371.6 kJ per mole of atoms. The density is 4.74 g/cm³. Its volume is 388 Å³/cell.



Record 4
DFT (SCAN) results for BaTlO2F at its PBEsol-relaxed geometry.

The structure belongs to space group P4/mmm (No. 123); the cell edges are 4.629, 4.629 and 5.043 Å and the angles 90.00°, 90.00° and 90.00°. The distinct sites, in fractional coordinates, are Ba at (0.000, 0.000, 0.000), Tl at (0.500, 0.500, 0.500), O at (0.000, 0.500, 0.000) and F at (0.000, 0.000, 0.500).

As for the energy relative to the elements, uncorrected: -119.6 kJ per mole of atoms. The density is 6.03 g/cm³. Its volume is 108 Å³/cell.



Record 5
DFT (SCAN) results for BaVOF4 at its PBEsol-relaxed geometry.

The structure belongs to space group Fdd2 (No. 43); the cell edges are 7.850, 27.528 and 7.326 Å and the angles 90.00°, 90.00° and 90.00°. The distinct sites, in fractional coordinates, are Ba at (0.007, 0.195, 0.000), V at (0.003, 0.327, 0.004), O at (0.088, 0.454, 0.820), F at (0.015, 0.118, 0.676), F at (0.082, 0.138, 0.300), F at (0.085, 0.049, 0.921) and F at (0.089, 0.281, 0.835).

As for the energy relative to the elements, uncorrected: -339.0 kJ per mole of atoms. The density is 4.70 g/cm³. Its volume is 1583 Å³/cell.



Record 6
DFT (SCAN) results for BaWO2F at its PBEsol-relaxed geometry.

The structure belongs to space group P4/mmm (No. 123); the cell edges are 4.693, 4.693 and 4.714 Å and the angles 90.00°, 90.00° and 90.00°. The distinct sites, in fractional coordinates, are Ba at (0.000, 0.000, 0.000), W at (0.500, 0.500, 0.500), O at (0.000, 0.500, 0.000) and F at (0.000, 0.000, 0.500).

As for the energy relative to the elements, uncorrected: 30.2 kJ per mole of atoms. The density is 5.95 g/cm³. Its volume is 104 Å³/cell.



- Which value of energy relative to the elements, uncorrected does entry 4 give?
  -119.6 kJ per mole of atoms